DFT (GGA-PBE) results for Al2ZnTe after structural relaxation.

Structure (CIF):
```
data_Al2ZnTe
_cell_length_a 2.9678
_cell_length_b 3.8142
_cell_length_c 7.3386
_cell_angle_alpha 90.00
_cell_angle_beta 90.00
_cell_angle_gamma 90.00
_space_group_name_H-M_alt 'P m m m'
_space_group_IT_number 47
_space_group_name_Hall '-P 2 2'
loop_
_atom_site_label
_atom_site_fract_x
_atom_site_fract_y
_atom_site_fract_z
Al1 0.0000 0.0000 0.1992
Zn1 0.5000 0.5000 0.0000
Te1 0.0000 0.5000 0.5000
```

## Properties
As for the energy relative to the elements, uncorrected: 0.0465 eV per atom. For the spin magnetization, the calculation gives 0.00 μB per cell.